(1)
! GGA-PBE Pm8Cd2Os, optimized geometry; values from VASP
&SYSTEM
  ibrav = 0, nat = 11, ntyp = 3
/
ATOMIC_SPECIES
Pm 145.00 Pm.upf
Cd 112.41 Cd.upf
Os 190.23 Os.upf
CELL_PARAMETERS angstrom
8.9927 -2.7278 0.0000
8.9927 2.7278 0.0000
-2.3626 0.0000 6.7180
ATOMIC_POSITIONS crystal
Pm 0.0188 0.0188 0.2883
Pm 0.1986 0.1986 0.7810
Pm 0.3486 0.3486 0.5525
Pm 0.4072 0.4072 0.0822
Pm 0.5928 0.5928 0.9178
Pm 0.6514 0.6514 0.4475
Pm 0.8014 0.8014 0.2190
Pm 0.9812 0.9812 0.7117
Cd 0.1819 0.1819 0.2025
Cd 0.8181 0.8181 0.7975
Os 0.5000 0.5000 0.5000
! - Symmetry: No. 12
! - Calculated formation energy: -11.50 kJ per mole of atoms
! - ρ: 7.9 Mg/m³
! - Spin magnetization: 0.0 μB per formula unit
! - DFT total energy: -52.38 eV per cell

---

(2)
! GGA-PBE PmPuCdOs, optimized geometry; values from VASP
&SYSTEM
  ibrav = 0, nat = 16, ntyp = 4
/
ATOMIC_SPECIES
Pm 145.00 Pm.upf
Pu 244.00 Pu.upf
Cd 112.41 Cd.upf
Os 190.23 Os.upf
CELL_PARAMETERS angstrom
7.1909 0.0000 0.0000
0.0000 7.1909 0.0000
0.0000 0.0000 7.1909
ATOMIC_POSITIONS crystal
Pm 0.0000 0.0000 0.0000
Pm 0.0000 0.5000 0.5000
Pm 0.5000 0.0000 0.5000
Pm 0.5000 0.5000 0.0000
Pu 0.0000 0.0000 0.5000
Pu 0.0000 0.5000 0.0000
Pu 0.5000 0.0000 0.0000
Pu 0.5000 0.5000 0.5000
Cd 0.2500 0.2500 0.2500
Cd 0.2500 0.7500 0.7500
Cd 0.7500 0.2500 0.7500
Cd 0.7500 0.7500 0.2500
Os 0.2500 0.2500 0.7500
Os 0.2500 0.7500 0.2500
Os 0.7500 0.2500 0.2500
Os 0.7500 0.7500 0.7500
! - Symmetry: No. 216
! - Calculated formation energy: 5.71 kJ per mole of atoms
! - ρ: 12.4 Mg/m³
! - Spin magnetization: 5.4 μB per formula unit
! - DFT total energy: -123.96 eV per cell

---

(3)
! GGA-PBE PmScCdOs, optimized geometry; values from VASP
&SYSTEM
  ibrav = 0, nat = 16, ntyp = 4
/
ATOMIC_SPECIES
Pm 145.00 Pm.upf
Sc 44.96 Sc.upf
Cd 112.41 Cd.upf
Os 190.23 Os.upf
CELL_PARAMETERS angstrom
7.0075 0.0000 0.0000
0.0000 7.0075 0.0000
0.0000 0.0000 7.0075
ATOMIC_POSITIONS crystal
Pm 0.0000 0.0000 0.0000
Pm 0.0000 0.5000 0.5000
Pm 0.5000 0.0000 0.5000
Pm 0.5000 0.5000 0.0000
Sc 0.0000 0.0000 0.5000
Sc 0.0000 0.5000 0.0000
Sc 0.5000 0.0000 0.0000
Sc 0.5000 0.5000 0.5000
Cd 0.2500 0.2500 0.2500
Cd 0.2500 0.7500 0.7500
Cd 0.7500 0.2500 0.7500
Cd 0.7500 0.7500 0.2500
Os 0.2500 0.2500 0.7500
Os 0.2500 0.7500 0.2500
Os 0.7500 0.2500 0.2500
Os 0.7500 0.7500 0.7500
! - Symmetry: No. 216
! - Calculated formation energy: -13.50 kJ per mole of atoms
! - ρ: 9.5 Mg/m³
! - Spin magnetization: 0.0 μB per formula unit
! - DFT total energy: -95.15 eV per cell